1.
Material: KSiNi3
Method: DFT, PBE
State: optimized geometry

Cell: 4.4428 4.4428 4.4428 Å, 90.00 90.00 90.00°
Fractional coordinates of all 5 atoms:
Si (0.0000, 0.0000, 0.0000)
Ni (0.0000, 0.5000, 0.0000)
Ni (0.0000, 0.0000, 0.5000)
Ni (0.5000, 0.0000, 0.0000)
K (0.5000, 0.5000, 0.5000)

Output
Relative energy among the computed polymorphs = 0 meV per atom
E_form (uncorrected) = 36 kJ/mol of atoms

2.
Material: Er10Ga3Bi3
Method: DFT, PBE
State: optimized geometry

Cell: 6.4906 8.7774 8.7774 Å, 120.00 90.00 90.00°
Fractional coordinates of all 16 atoms:
Er (0.7641, 0.3333, 0.6667)
Er (0.0000, 0.7623, 0.7623)
Er (0.2359, 0.3333, 0.6667)
Er (0.0000, 0.2377, 0.0000)
Er (0.7641, 0.6667, 0.3333)
Er (0.5000, 0.0000, 0.7652)
Er (0.2359, 0.6667, 0.3333)
Er (0.5000, 0.2348, 0.2348)
Er (0.0000, 0.0000, 0.2377)
Er (0.5000, 0.7652, 0.0000)
Bi (0.5000, 0.3996, 0.0000)
Bi (0.5000, 0.6004, 0.6004)
Bi (0.5000, 0.0000, 0.3996)
Ga (0.0000, 0.6075, 0.0000)
Ga (0.0000, 0.3925, 0.3925)
Ga (0.0000, 0.0000, 0.6075)

Output
Formation energy from the elements = -583 meV/atom

| no. | ρ (Mg/m³) |
| --- | --- |
| 1 | 4.61 |
| 2 | 9.62 |